Entry 1:
Entry from Alexandria: a PBEsol-optimized structure of BaHgW (SCAN).

Results
Energy of formation from the pure elements: 5.6 eV/f.u.
DOS(E_F): 0.70 states/eV per atom
SG: No. 216
Total magnetic moment: 4.06 μB/f.u.
E_tot: -57.2736 eV/atom
Mass density: 8.26 g/cm³
E above lowest polymorph: 2.53 eV per formula unit

a b c (Å): 5.2930 5.2930 5.2930
angles (deg): 60.00 60.00 60.00
Sites, in units of the cell vectors:
Ba 0.2500 0.2500 0.2500
W 0.5000 0.5000 0.5000
Hg 0.0000 0.0000 0.0000

Entry 2:
Entry from Alexandria: a PBEsol-optimized structure of Nd3Cu4P4O2 (SCAN).

Results
ΔE_f (raw): -1.506 eV/atom
DOS(E_F): 0.27 states/eV per atom
SG: No. 139
Total magnetic moment: 0.00 μB/f.u.
E_tot: -20.3987 eV/atom
Mass density: 6.88 g/cm³

a b c (Å): 3.9401 3.9401 13.3904
angles (deg): 98.46 98.46 90.00
Sites, in units of the cell vectors:
Nd 0.2959 0.2959 0.5918
Nd 0.7041 0.7041 0.4082
Nd 0.0000 0.0000 0.0000
Cu 0.0940 0.5940 0.1881
Cu 0.5940 0.0940 0.1881
Cu 0.4060 0.9060 0.8119
Cu 0.9060 0.4060 0.8119
O 0.7500 0.2500 0.5000
O 0.2500 0.7500 0.5000
P 0.5426 0.5426 0.0853
P 0.4574 0.4574 0.9147
P 0.1411 0.1411 0.2822
P 0.8589 0.8589 0.7178

Entry 3:
Entry from Alexandria: a PBEsol-optimized structure of CdTe2MoOs (SCAN).

Results
ΔE_f (raw): 1.051 eV/atom
DOS(E_F): 0.90 states/eV per atom
SG: No. 123
Total magnetic moment: 2.79 μB/f.u.
E_tot: -41.2852 eV/atom
Mass density: 8.32 g/cm³

a b c (Å): 4.7936 5.2180 5.2180
angles (deg): 90.00 90.00 90.00
Sites, in units of the cell vectors:
Te 0.0000 0.5000 0.0000
Te 0.0000 0.0000 0.5000
Os 0.0000 0.0000 0.0000
Mo 0.5000 0.0000 0.0000
Cd 0.5000 0.5000 0.5000

Entry 4:
Entry from Alexandria: a PBEsol-optimized structure of RhO2 (SCAN).

Results
ΔE_f (raw): -1.015 eV/atom
DOS(E_F): 0.60 states/eV per atom
SG: No. 136
Total magnetic moment: 0.00 μB/f.u.
E_tot: -16.4263 eV/atom
Mass density: 7.30 g/cm³

a b c (Å): 3.0790 4.4633 4.4633
angles (deg): 90.00 90.00 90.00
Sites, in units of the cell vectors:
Rh 0.0000 0.0000 0.0000
Rh 0.5000 0.5000 0.5000
O 0.0000 0.6930 0.6930
O 0.5000 0.1930 0.8070
O 0.5000 0.8070 0.1930
O 0.0000 0.3070 0.3070

Entry 5:
Entry from Alexandria: a PBEsol-optimized structure of CaB3H5O8 (SCAN).

Results
DOS(E_F): 0.00 states/eV per atom
SG: No. 14
Total magnetic moment: 0.00 μB/f.u.
E_tot: -7.9219 eV/atom
Mass density: 2.49 g/cm³

a b c (Å): 6.0429 8.6093 11.0964
angles (deg): 90.00 90.00 108.56
Sites, in units of the cell vectors:
O 0.3230 0.8435 0.6470
O 0.7434 0.6155 0.9878
O 0.0447 0.3262 0.4206
O 0.2996 0.5851 0.5512
O 0.2560 0.8091 0.4337
O 0.4815 0.4091 0.6545
O 0.8446 0.5267 0.2564
O 0.6554 0.9733 0.7564
O 0.0349 0.1778 0.7677
O 0.2440 0.6909 0.9337
O 0.2434 0.1155 0.5122
O 0.8230 0.3435 0.8530
O 0.7440 0.1909 0.5663
O 0.7566 0.8845 0.4878
O 0.7560 0.3091 0.0663
O 0.7004 0.4149 0.4488
O 0.1770 0.6565 0.1470
O 0.9651 0.8222 0.2323
O 0.5185 0.5909 0.3455
O 0.5349 0.6778 0.7323
O 0.7996 0.0851 0.9488
O 0.1554 0.4733 0.7436
O 0.4651 0.3222 0.2677
O 0.9815 0.9091 0.8455
O 0.3446 0.0267 0.2436
O 0.6770 0.1565 0.3530
O 0.9553 0.6738 0.5794
O 0.4553 0.1738 0.9206
O 0.0185 0.0909 0.1545
O 0.5447 0.8262 0.0794
O 0.2566 0.3845 0.0122
O 0.2004 0.9149 0.0512
H 0.5537 0.4108 0.5720
H 0.6348 0.9230 0.0287
H 0.1348 0.4230 0.4713
H 0.8851 0.1988 0.6134
H 0.3652 0.0770 0.9713
H 0.3851 0.6988 0.8866
H 0.8384 0.8180 0.5331
H 0.1616 0.1820 0.4669
H 0.9463 0.0892 0.0720
H 0.6149 0.3012 0.1134
H 0.7668 0.9883 0.5296
H 0.4463 0.5892 0.4280
H 0.2668 0.4883 0.9704
H 0.2332 0.0117 0.4704
H 0.1149 0.8012 0.3866
H 0.7332 0.5117 0.0296
H 0.0537 0.9108 0.9280
H 0.6616 0.6820 0.0331
H 0.8652 0.5770 0.5287
H 0.3384 0.3180 0.9669
B 0.7073 0.2250 0.9485
B 0.9876 0.6707 0.2102
B 0.7927 0.2750 0.4485
B 0.8661 0.0309 0.8326
B 0.2927 0.7750 0.0515
B 0.5124 0.8293 0.7102
B 0.2073 0.7250 0.5515
B 0.3661 0.5309 0.6674
B 0.1339 0.9691 0.1674
B 0.6339 0.4691 0.3326
B 0.4876 0.1707 0.2898
B 0.0124 0.3293 0.7898
Ca 0.1021 0.3672 0.2034
Ca 0.8979 0.6328 0.7966
Ca 0.3979 0.1328 0.7034
Ca 0.6021 0.8672 0.2966

Entry 6:
Entry from Alexandria: a PBEsol-optimized structure of TaOsSeBr2 (SCAN).

Results
ΔE_f (raw): 1.152 eV/atom
DOS(E_F): 0.92 states/eV per atom
SG: No. 123
Total magnetic moment: 4.06 μB/f.u.
E_tot: -38.3406 eV/atom
Mass density: 8.10 g/cm³

a b c (Å): 4.9595 5.0202 5.0202
angles (deg): 90.00 90.00 90.00
Sites, in units of the cell vectors:
Br 0.0000 0.5000 0.0000
Br 0.0000 0.0000 0.5000
Os 0.5000 0.5000 0.5000
Ta 0.0000 0.0000 0.0000
Se 0.5000 0.0000 0.0000

Entry 7:
Entry from Alexandria: a PBEsol-optimized structure of Li2WAu (SCAN).

Results
Energy of formation from the pure elements: 0.6 eV/f.u.
DOS(E_F): 0.58 states/eV per atom
SG: No. 99
Total magnetic moment: 0.00 μB/f.u.
E_tot: -35.7452 eV/atom
Mass density: 10.71 g/cm³
E above lowest polymorph: 0.00 eV per formula unit

a b c (Å): 2.7114 2.7114 8.3256
angles (deg): 90.00 90.00 90.00
Sites, in units of the cell vectors:
Au 0.5000 0.5000 0.7611
Li 0.5000 0.5000 0.2560
Li 0.0000 0.0000 0.9835
W 0.0000 0.0000 0.4993

Entry 8:
Entry from Alexandria: a PBEsol-optimized structure of ScMn4Al (SCAN).

Results
Energy of formation from the pure elements: -0.5 eV/f.u.
DOS(E_F): 1.06 states/eV per atom
SG: No. 216
Total magnetic moment: 1.58 μB/f.u.
E_tot: -15.9123 eV/atom
Mass density: 6.45 g/cm³

a b c (Å): 4.7353 4.7353 4.7353
angles (deg): 60.00 60.00 60.00
Sites, in units of the cell vectors:
Sc 0.7500 0.7500 0.7500
Mn 0.3741 0.3741 0.3741
Mn 0.3741 0.3741 0.8778
Mn 0.3741 0.8778 0.3741
Mn 0.8778 0.3741 0.3741
Al 0.0000 0.0000 0.0000

Entry 9:
Entry from Alexandria: a PBEsol-optimized structure of Mo3PdW (SCAN).

Results
Energy of formation from the pure elements: 11.8 eV/f.u.
DOS(E_F): 1.34 states/eV per atom
SG: No. 221
Total magnetic moment: 0.00 μB/f.u.
E_tot: -39.0639 eV/atom
Mass density: 10.03 g/cm³

a b c (Å): 4.5738 4.5738 4.5738
angles (deg): 90.00 90.00 90.00
Sites, in units of the cell vectors:
Mo 0.5000 0.0000 0.0000
Mo 0.0000 0.5000 0.0000
Mo 0.0000 0.0000 0.5000
Pd 0.0000 0.0000 0.0000
W 0.5000 0.5000 0.5000

Entry 10:
Entry from Alexandria: a PBEsol-optimized structure of ZrInFe2 (SCAN).

Results
Energy of formation from the pure elements: 1.4 eV/f.u.
DOS(E_F): 0.80 states/eV per atom
SG: No. 166
Total magnetic moment: 3.86 μB/f.u.
E_tot: -24.7236 eV/atom
Mass density: 8.09 g/cm³

a b c (Å): 3.0729 3.0729 8.1673
angles (deg): 79.16 79.16 60.00
Sites, in units of the cell vectors:
Fe 0.2521 0.2521 0.2436
Fe 0.7479 0.7479 0.7564
Zr 0.0000 0.0000 0.0000
In 0.5000 0.5000 0.5000

Entry 11:
Entry from Alexandria: a PBEsol-optimized structure of LaHgIr (SCAN).

Results
Energy of formation from the pure elements: -1.2 eV/f.u.
DOS(E_F): 0.67 states/eV per atom
SG: No. 187
Total magnetic moment: 0.00 μB/f.u.
E_tot: -61.2025 eV/atom
Mass density: 12.86 g/cm³

a b c (Å): 3.6064 4.6894 4.6894
angles (deg): 120.00 90.00 90.00
Sites, in units of the cell vectors:
La 0.3334 0.6667 0.3333
Hg 0.8334 0.0000 0.0000
Ir 0.8332 0.3333 0.6667

Entry 12:
Entry from Alexandria: a PBEsol-optimized structure of KLi3Rh (SCAN).

Results
Energy of formation from the pure elements: 0.7 eV/f.u.
DOS(E_F): 0.37 states/eV per atom
SG: No. 221
Total magnetic moment: 0.00 μB/f.u.
E_tot: -9.7122 eV/atom
Mass density: 2.35 g/cm³

a b c (Å): 4.8608 4.8608 4.8608
angles (deg): 90.00 90.00 90.00
Sites, in units of the cell vectors:
Li 0.0000 0.5000 0.0000
Li 0.0000 0.0000 0.5000
Li 0.5000 0.0000 0.0000
K 0.5000 0.5000 0.5000
Rh 0.0000 0.0000 0.0000